[1]
The following is a PBE-GGA calculation of a geometry-optimized CaTb2In2Hg2 structure, from Alexandria via LeMat-Bulk.

abc: 9.737 9.737 9.737
angles: 29.30 29.30 29.30
Positions (direct):
Ca 0.000 0.000 0.000
Tb 0.128 0.128 0.128
Tb 0.872 0.872 0.872
In 0.253 0.253 0.253
In 0.747 0.747 0.747
Hg 0.402 0.402 0.402
Hg 0.598 0.598 0.598

Its final energy is -19.52 eV for the cell shown.

[2]
The following is a PBE-GGA calculation of a geometry-optimized Li2Os2Rh structure, from Alexandria via LeMat-Bulk.

abc: 5.564 5.564 5.564
angles: 141.80 141.80 55.13
Positions (direct):
Li 0.086 0.086 0.000
Li 0.914 0.914 0.000
Os 0.250 0.750 0.500
Os 0.750 0.250 0.500
Rh 0.500 0.500 0.000

The value obtained for the energy above the most stable polymorph in this dataset is 0.054 eV per atom.

[3]
The following is a PBE-GGA calculation of a geometry-optimized K3Na13 structure, from Alexandria via LeMat-Bulk.

abc: 9.769 8.396 8.396
angles: 89.60 90.00 90.00
Positions (direct):
K 0.000 0.000 0.000
K 0.261 0.273 0.273
K 0.739 0.273 0.273
Na 0.000 0.524 0.994
Na 0.000 0.533 0.533
Na 0.000 0.994 0.524
Na 0.256 0.754 0.754
Na 0.267 0.274 0.759
Na 0.267 0.759 0.274
Na 0.500 0.536 0.536
Na 0.500 0.539 0.994
Na 0.500 0.993 0.993
Na 0.500 0.994 0.539
Na 0.733 0.274 0.759
Na 0.733 0.759 0.274
Na 0.744 0.754 0.754

Its final energy is -20.02 eV for the cell shown.

[4]
The following is a PBE-GGA calculation of a geometry-optimized Mg8Cd2Ga structure, from Alexandria via LeMat-Bulk.

abc: 9.154 9.154 6.236
angles: 108.33 108.33 29.99
Positions (direct):
Mg 0.021 0.021 0.272
Mg 0.213 0.213 0.791
Mg 0.347 0.347 0.536
Mg 0.400 0.400 0.062
Mg 0.600 0.600 0.938
Mg 0.653 0.653 0.464
Mg 0.787 0.787 0.209
Mg 0.979 0.979 0.728
Cd 0.178 0.178 0.212
Cd 0.822 0.822 0.788
Ga 0.500 0.500 0.500

The value obtained for the energy above the most stable polymorph in this dataset is 0.013 eV per atom.